First-principles (PBE) data for a relaxed structure of Be2AlTc, as listed in Alexandria via LeMat-Bulk.

Calculated values
**Spin magnetization**: 0.00 μB per cell
**ΔH_f (0 K)**: 0.0112 eV per atom
**ρ**: 5.0 g/cm3

abc: 4.7188 4.7188 2.5732
angles: 78.30 78.30 115.55
Atoms (fractional coordinates):
1 Be 0.0000 0.0000 0.0000
2 Be 0.5000 0.5000 0.0000
3 Al 0.0000 0.5000 0.5000
4 Tc 0.5000 0.0000 0.5000